(1)
Below is crystalline InPd2C at its relaxed geometry, with properties calculated at the PBE level.

Properties
The space group is P1 (1). For the magnetization, the calculation gives 0.0 μB/cell.

Lattice parameters (Å, degrees): 5.3199 5.3952 5.5848 117.64 108.39 96.01
With the nearest neighbours (Å) after each atom.
Fractional coordinates of all 8 atoms:
In: 0.0000 0.0000 0.0000  5 Pd 2.69-3.01
In: 0.4677 0.2609 0.7629  1 C 2.27
Pd: 0.0495 0.4912 0.9804  2 C 2.06-2.11
Pd: 0.1502 0.5915 0.5628  2 C 2.10-2.11
Pd: 0.5596 0.4550 0.3573  2 C 2.06-2.09
Pd: 0.5951 0.8821 0.1829  2 C 2.01-2.17
C: 0.3696 0.7845 0.4067  4 Pd 2.09-2.17, 1 In 2.27
C: 0.8427 0.2830 0.5261  4 Pd 2.01-2.10



(2)
Below is crystalline InPd2C at its relaxed geometry, with properties calculated at the PBE level.

Properties
The space group is Fm-3m (225). For the magnetization, the calculation gives 0.0 μB/cell.

Lattice parameters (Å, degrees): 4.4003 4.4003 4.4003 60.00 60.00 60.00
With the nearest neighbours (Å) after each atom.
Fractional coordinates of all 4 atoms:
In: 0.0000 0.0000 0.0000  8 Pd 2.69
Pd: 0.2500 0.2500 0.2500  4 In 2.69, 4 C 2.69
Pd: 0.7500 0.7500 0.7500  4 C 2.69, 4 In 2.69
C: 0.5000 0.5000 0.5000  8 Pd 2.69



(3)
Below is crystalline InPdC3 at its relaxed geometry, with properties calculated at the PBE level.

Properties
The space group is Pm-3m (221). For the magnetization, the calculation gives 0.0 μB/cell.

Lattice parameters (Å, degrees): 4.2859 4.2859 4.2859 90.00 90.00 90.00
With the nearest neighbours (Å) after each atom.
Fractional coordinates of all 5 atoms:
In: 0.0000 0.0000 0.0000  6 C 2.14
Pd: 0.5000 0.5000 0.5000  12 C 3.03
C: 0.0000 0.0000 0.5000  2 In 2.14
C: 0.0000 0.5000 0.0000  2 In 2.14
C: 0.5000 0.0000 0.0000  2 In 2.14



(4)
Below is crystalline InPd2C at its relaxed geometry, with properties calculated at the PBE level.

Properties
The space group is Cc (9). For the magnetization, the calculation gives 0.0 μB/cell.

Lattice parameters (Å, degrees): 6.1755 6.1755 5.1297 113.25 113.25 109.06
With the nearest neighbours (Å) after each atom.
Fractional coordinates of all 8 atoms:
In: 0.1343 0.8657 0.5000  4 Pd 2.78-2.90
In: 0.8657 0.1343 0.0000  4 Pd 2.78-2.90
Pd: 0.4354 0.5539 0.5974  2 C 2.01-2.04
Pd: 0.4890 0.9053 0.2617  2 C 2.03
Pd: 0.5539 0.4354 0.0974  2 C 2.01-2.04
Pd: 0.9053 0.4890 0.7617  2 C 2.03
C: 0.2544 0.4904 0.8340  4 Pd 2.01-2.04
C: 0.4904 0.2544 0.3340  4 Pd 2.01-2.04



(5)
Below is crystalline In3PdC at its relaxed geometry, with properties calculated at the PBE level.

Properties
The space group is Pm-3m (221). For the magnetization, the calculation gives 0.0 μB/cell.

Lattice parameters (Å, degrees): 4.6619 4.6619 4.6619 90.00 90.00 90.00
With the nearest neighbours (Å) after each atom.
Fractional coordinates of all 5 atoms:
In: 0.0000 0.0000 0.5000  2 C 2.33
In: 0.0000 0.5000 0.0000  2 C 2.33
In: 0.5000 0.0000 0.0000  2 C 2.33
Pd: 0.5000 0.5000 0.5000  12 In 3.30
C: 0.0000 0.0000 0.0000  6 In 2.33



(6)
Below is crystalline InPd2C at its relaxed geometry, with properties calculated at the PBE level.

Properties
The space group is P1 (1). For the magnetization, the calculation gives 0.0 μB/cell.

Lattice parameters (Å, degrees): 5.1396 5.3492 5.5840 66.85 64.78 81.77
With the nearest neighbours (Å) after each atom.
Fractional coordinates of all 8 atoms:
In: 0.0000 0.0000 0.0000  1 C 2.69, 5 Pd 2.73-3.01
In: 0.3096 0.1869 0.2753  1 C 2.45
Pd: 0.0391 0.5932 0.5380  2 C 2.04-2.05
Pd: 0.4610 0.7051 0.6630  2 C 2.04-2.05
Pd: 0.6060 0.1500 0.7245  2 C 2.04-2.08
Pd: 0.8476 0.4774 0.1336  2 C 2.05-2.06
C: 0.4530 0.4659 0.4587  4 Pd 2.04-2.08
C: 0.7421 0.7591 0.8128  4 Pd 2.04-2.06



(7)
Below is crystalline InPd2RhC at its relaxed geometry, with properties calculated at the PBE level.

Properties
The space group is P4/mmm (123). For the magnetization, the calculation gives 0.0 μB/cell.

Lattice parameters (Å, degrees): 5.0801 5.0801 3.6946 90.00 90.00 90.00
With the nearest neighbours (Å) after each atom.
Fractional coordinates of all 5 atoms:
In: 0.0000 0.0000 0.0000  8 Pd 3.14
Pd: 0.0000 0.5000 0.5000  2 Rh 2.54
Pd: 0.5000 0.0000 0.5000  2 Rh 2.54
Rh: 0.5000 0.5000 0.5000  2 C 1.85
C: 0.5000 0.5000 0.0000  2 Rh 1.85



(8)
Below is crystalline ScInPd2C at its relaxed geometry, with properties calculated at the PBE level.

Properties
The space group is P4/mmm (123). For the magnetization, the calculation gives 0.0 μB/cell.

Lattice parameters (Å, degrees): 4.9997 4.9997 4.1222 90.00 90.00 90.00
With the nearest neighbours (Å) after each atom.
Fractional coordinates of all 5 atoms:
Sc: 0.0000 0.0000 0.0000  8 Pd 3.24, 4 C 3.54
In: 0.5000 0.5000 0.5000  2 C 2.06
Pd: 0.0000 0.5000 0.5000  2 In 2.50
Pd: 0.5000 0.0000 0.5000  2 In 2.50
C: 0.5000 0.5000 0.0000  2 In 2.06



Fermi-level density of states (computed, states/eV/cell): 2.36, 1.85, 3.34, 4.02, 1.75, 2.60, 3.82, 4.08
Formation energy (computed, meV/atom): 369, 956, 3204, 384, 726, 361, 844, 984